4
Lattice="-2.725 5.283 -3.040 -1.577 -6.425 -0.898 -3.354 -0.191 0.751" Properties=species:S:1:pos:R:3 comment="CaCr2Br PBE relaxed" space_group="No. 12" total_energy_ha_per_atom=-0.19476 polymorph_energy_ev_per_atom=0.423 pbc="T T T"
Cr 0.000 0.000 0.000
Cr -2.151 -0.571 -1.969
Ca -2.466 -3.308 -0.074
Br -3.040 2.546 -1.145

***

4
Lattice="-2.853 2.335 -1.654 -2.824 0.416 5.458 2.285 3.444 0.920" Properties=species:S:1:pos:R:3 comment="CaCrBr2 PBE relaxed" space_group="No. 47" total_energy_ha_per_atom=-0.15624 polymorph_energy_ev_per_atom=0.136 pbc="T T T"
Cr -0.270 1.930 3.189
Ca -0.284 2.890 -0.367
Br 0.000 0.000 0.000
Br -2.839 1.375 1.902

***

4
Lattice="5.336 -6.927 2.331 7.997 -4.129 0.947 6.604 -3.906 4.799" Properties=species:S:1:pos:R:3 comment="CaCrBr2 PBE relaxed" space_group="No. 166" total_energy_ha_per_atom=-0.15577 polymorph_energy_ev_per_atom=0.148 pbc="T T T"
Cr 9.969 -7.481 4.038
Ca 0.000 0.000 0.000
Br 17.736 -13.310 7.185
Br 2.201 -1.652 0.892

***

8
Lattice="8.193 0.000 0.000 0.000 8.193 0.000 4.097 4.097 3.947" Properties=species:S:1:pos:R:3 comment="Ca2CrBr PBE relaxed" space_group="No. 122" total_energy_ha_per_atom=-0.14273 polymorph_energy_ev_per_atom=0.225 pbc="T T T"
Cr 4.097 4.097 0.000
Cr 4.097 8.193 1.974
Ca 6.294 2.048 0.987
Ca 1.899 6.145 0.987
Ca 6.145 5.995 2.960
Ca 10.241 10.391 2.960
Br 0.000 0.000 0.000
Br 8.193 4.097 1.974

***

| no. | ΔE_f (raw) (meV/atom) | N(E_F) (states/eV/cell) |
| --- | --- | --- |
| 1 | 431 | 2.48 |
| 2 | -509 | 1.61 |
| 3 | -496 | 5.70 |
| 4 | -59 | 2.50 |